Entry 1:
Material: HfFeMoBr2
Method: DFT, GGA-PBEsol
State: optimized geometry

Lattice parameters (Å, degrees): 4.429 4.846 4.846 90.00 90.00 90.00
Element x y z (fractional)
Fe: 0.500 0.000 0.000
Br: 0.000 0.500 0.000
Br: 0.000 0.000 0.500
Mo: 0.000 0.000 0.000
Hf: 0.500 0.500 0.500

---

Entry 2:
Material: Li2NiPCO7
Method: DFT, GGA-PBEsol
State: optimized geometry

Lattice parameters (Å, degrees): 4.958 6.107 8.299 90.00 93.18 90.00
Element x y z (fractional)
C: 0.287 0.750 0.055
C: 0.713 0.250 0.945
O: 0.607 0.250 0.450
O: 0.059 0.750 0.130
O: 0.941 0.250 0.870
O: 0.288 0.750 0.903
O: 0.498 0.750 0.153
O: 0.808 0.555 0.679
O: 0.808 0.945 0.679
O: 0.174 0.250 0.593
O: 0.712 0.250 0.097
O: 0.192 0.055 0.321
O: 0.502 0.250 0.847
O: 0.393 0.750 0.550
O: 0.826 0.750 0.407
O: 0.192 0.445 0.321
Li: 0.788 0.992 0.234
Li: 0.788 0.508 0.234
Li: 0.212 0.492 0.766
Li: 0.212 0.008 0.766
P: 0.292 0.250 0.426
P: 0.708 0.750 0.574
Ni: 0.779 0.250 0.659
Ni: 0.221 0.750 0.341

---

Summary of total moment in Bohr magnetons per cell
1.020; 2.001
(order as listed above)
Summary of uncorrected energy in Ha/atom
-0.2150; -0.2549
(order as listed above)